Entry from the Alexandria database: an optimized crystal structure of Pr3In5S12 (PBE).

Cell lengths 13.811, 13.811, 13.811 Å; angles 109.47, 109.47, 109.47 degrees
Element x y z (fractional)
1 Pr 0.125 0.250 0.375
2 Pr 0.125 0.375 0.750
3 Pr 0.250 0.375 0.125
4 Pr 0.250 0.875 0.625
5 Pr 0.375 0.125 0.250
6 Pr 0.375 0.750 0.125
7 Pr 0.625 0.250 0.875
8 Pr 0.625 0.875 0.750
9 Pr 0.750 0.125 0.375
10 Pr 0.750 0.625 0.875
11 Pr 0.875 0.625 0.250
12 Pr 0.875 0.750 0.625
13 In 0.000 0.000 0.000
14 In 0.000 0.000 0.500
15 In 0.000 0.500 0.000
16 In 0.000 0.500 0.500
17 In 0.125 0.750 0.875
18 In 0.125 0.875 0.250
19 In 0.250 0.125 0.875
20 In 0.250 0.625 0.375
21 In 0.375 0.250 0.625
22 In 0.375 0.625 0.750
23 In 0.500 0.000 0.000
24 In 0.500 0.000 0.500
25 In 0.500 0.500 0.000
26 In 0.500 0.500 0.500
27 In 0.625 0.375 0.250
28 In 0.625 0.750 0.375
29 In 0.750 0.375 0.625
30 In 0.750 0.875 0.125
31 In 0.875 0.125 0.750
32 In 0.875 0.250 0.125
33 S 0.039 0.214 0.128
34 S 0.039 0.326 0.912
35 S 0.086 0.714 0.674
36 S 0.086 0.872 0.412
37 S 0.088 0.628 0.414
38 S 0.088 0.961 0.674
39 S 0.128 0.039 0.214
40 S 0.128 0.588 0.914
41 S 0.174 0.214 0.586
42 S 0.174 0.461 0.588
43 S 0.214 0.128 0.039
44 S 0.214 0.586 0.174
45 S 0.286 0.326 0.914
46 S 0.286 0.461 0.372
47 S 0.326 0.912 0.039
48 S 0.326 0.914 0.286
49 S 0.372 0.286 0.461
50 S 0.372 0.586 0.912
51 S 0.412 0.086 0.872
52 S 0.412 0.826 0.539
53 S 0.414 0.088 0.628
54 S 0.414 0.826 0.786
55 S 0.461 0.372 0.286
56 S 0.461 0.588 0.174
57 S 0.539 0.412 0.826
58 S 0.539 0.628 0.714
59 S 0.586 0.174 0.214
60 S 0.586 0.912 0.372
61 S 0.588 0.174 0.461
62 S 0.588 0.914 0.128
63 S 0.628 0.414 0.088
64 S 0.628 0.714 0.539
65 S 0.674 0.086 0.714
66 S 0.674 0.088 0.961
67 S 0.714 0.539 0.628
68 S 0.714 0.674 0.086
69 S 0.786 0.414 0.826
70 S 0.786 0.872 0.961
71 S 0.826 0.539 0.412
72 S 0.826 0.786 0.414
73 S 0.872 0.412 0.086
74 S 0.872 0.961 0.786
75 S 0.912 0.039 0.326
76 S 0.912 0.372 0.586
77 S 0.914 0.128 0.588
78 S 0.914 0.286 0.326
79 S 0.961 0.674 0.088
80 S 0.961 0.786 0.872

Results
space group: Ia-3d (230)
spin magnetization: 0.00 μB/cell
formation energy without anion corrections: -1113.3 meV/atom